1.
{
  "formula": "TaTlHgI6",
  "functional": "PBE",
  "state": "optimized geometry",
  "cell": [[8.233, 0.000, 0.000], [-4.117, 7.130, 0.000], [0.000, 0.000, 16.234]],
  "species": ["Ta", "Ta", "Tl", "Tl", "Hg", "Hg", "I", "I", "I", "I", "I", "I", "I", "I", "I", "I", "I", "I"],
  "frac_coords": [[0.333, 0.667, 0.250], [0.667, 0.333, 0.750], [0.333, 0.667, 0.750], [0.667, 0.333, 0.250], [0.000, 0.000, 0.000], [0.000, 0.000, 0.500], [0.059, 0.393, 0.150], [0.059, 0.666, 0.350], [0.334, 0.393, 0.350], [0.334, 0.941, 0.150], [0.393, 0.059, 0.650], [0.393, 0.334, 0.850], [0.607, 0.666, 0.150], [0.607, 0.941, 0.350], [0.666, 0.059, 0.850], [0.666, 0.607, 0.650], [0.941, 0.334, 0.650], [0.941, 0.607, 0.850]],
  "e_form_raw_ev_per_atom": -0.419,
  "magmom_total_mub_per_cell": 0.0
}


2.
{
  "formula": "PrTm3Tl4Te8",
  "functional": "PBE",
  "state": "optimized geometry",
  "cell": [[4.459, 2.575, 8.186], [-4.459, 2.575, 8.186], [0.000, -5.149, 8.186]],
  "species": ["Pr", "Tm", "Tm", "Tm", "Tl", "Tl", "Tl", "Tl", "Te", "Te", "Te", "Te", "Te", "Te", "Te", "Te"],
  "frac_coords": [[0.000, 0.000, 0.000], [0.000, 0.500, 0.500], [0.500, 0.000, 0.500], [0.500, 0.500, 0.000], [0.000, 0.000, 0.500], [0.000, 0.500, 0.000], [0.500, 0.000, 0.000], [0.500, 0.500, 0.500], [0.244, 0.244, 0.727], [0.244, 0.727, 0.244], [0.264, 0.264, 0.264], [0.273, 0.756, 0.756], [0.727, 0.244, 0.244], [0.736, 0.736, 0.736], [0.756, 0.273, 0.756], [0.756, 0.756, 0.273]],
  "e_form_raw_ev_per_atom": -1.035,
  "magmom_total_mub_per_cell": 0.0
}


3.
{
  "formula": "TeMoBr2",
  "functional": "PBE",
  "state": "optimized geometry",
  "cell": [[3.161, 0.000, 0.000], [0.000, 6.018, 0.000], [0.000, 0.000, 11.935]],
  "species": ["Te", "Te", "Mo", "Mo", "Br", "Br", "Br", "Br"],
  "frac_coords": [[0.000, 0.000, 0.000], [0.500, 0.500, 0.000], [0.000, 0.000, 0.500], [0.500, 0.500, 0.500], [0.000, 0.500, 0.330], [0.000, 0.500, 0.670], [0.500, 0.000, 0.330], [0.500, 0.000, 0.670]],
  "de_polymorph_mev_per_atom": 463.3,
  "e_form_raw_ev_per_atom": 0.252,
  "magmom_total_mub_per_cell": 2.8,
  "n_ef_per_ev_cell": 7.7
}


4.
{
  "formula": "CuSi5",
  "functional": "PBE",
  "state": "optimized geometry",
  "cell": [[9.715, 0.000, 0.000], [0.000, 2.622, 0.000], [-2.698, 0.000, 6.832]],
  "species": ["Cu", "Cu", "Si", "Si", "Si", "Si", "Si", "Si", "Si", "Si", "Si", "Si"],
  "frac_coords": [[0.000, 0.000, 0.000], [0.500, 0.500, 0.000], [0.062, 0.500, 0.314], [0.139, 0.000, 0.643], [0.233, 0.500, 0.980], [0.304, 0.000, 0.318], [0.409, 0.000, 0.687], [0.562, 0.000, 0.314], [0.639, 0.500, 0.643], [0.733, 0.000, 0.980], [0.804, 0.500, 0.318], [0.909, 0.500, 0.687]],
  "de_polymorph_mev_per_atom": 34.8,
  "e_form_raw_ev_per_atom": 0.340,
  "magmom_total_mub_per_cell": 0.0,
  "n_ef_per_ev_cell": 4.7
}